Entry from Alexandria via LeMat-Bulk: a geometry-optimized ErTm2Pt2 structure (GGA-PBE).

## Properties
Magnetization   0.000 μB/atom
Electronic total energy   -6.24 eV per atom
Formation enthalpy at 0 K   -1.1193 eV per atom
SG   P4/mbm, No. 127

Lattice parameters (Å, degrees): 3.9380 7.6400 7.6400 90.00 90.00 90.00
With the nearest neighbours (Å) after each atom.
Fractional positions:
Er: 0.0000 0.0000 0.0000  4 Pt 2.95
Er: 0.0000 0.5000 0.5000  4 Pt 2.95
Tm: 0.5000 0.1599 0.6599  6 Pt 2.92-3.03
Tm: 0.5000 0.6599 0.8401  6 Pt 2.92-3.03
Tm: 0.5000 0.8401 0.3401  6 Pt 2.92-3.03
Tm: 0.5000 0.3401 0.1599  6 Pt 2.92-3.03
Pt: 0.0000 0.3595 0.8595  6 Tm 2.92-3.03, 2 Er 2.95, 1 Pt 3.04
Pt: 0.0000 0.8595 0.6405  6 Tm 2.92-3.03, 2 Er 2.95, 1 Pt 3.04
Pt: 0.0000 0.6405 0.1405  6 Tm 2.92-3.03, 2 Er 2.95, 1 Pt 3.04
Pt: 0.0000 0.1405 0.3595  6 Tm 2.92-3.03, 2 Er 2.95, 1 Pt 3.04


Entry from Alexandria via LeMat-Bulk: a geometry-optimized Ag2PdF5 structure (GGA-PBE).

## Properties
Magnetization   0.000 μB/atom
Electronic total energy   -3.71 eV per atom
SG   C2/c, No. 15

Lattice parameters (Å, degrees): 5.6195 6.2985 8.3415 109.69 90.00 116.49
With the nearest neighbours (Å) after each atom.
Fractional positions:
Ag: 0.6201 0.2896 0.3168  5 F 2.38-2.62
Ag: 0.3305 0.7104 0.1832  5 F 2.38-2.62
Ag: 0.6695 0.2896 0.8168  5 F 2.38-2.62
Ag: 0.3799 0.7104 0.6832  5 F 2.38-2.62
Pd: 0.0000 0.0000 0.0000  6 F 2.00-2.15
Pd: 0.0000 0.0000 0.5000  6 F 2.00-2.15
F: 0.9234 0.2953 0.1045  1 Pd 2.01
F: 0.8601 0.2496 0.5306  1 Pd 2.00
F: 0.3895 0.2496 0.0306  1 Pd 2.00
F: 0.6281 0.7047 0.3955  1 Pd 2.01
F: 0.3719 0.2953 0.6045  1 Pd 2.01
F: 0.0956 0.0000 0.2500  2 Pd 2.15
F: 0.6105 0.7504 0.9694  1 Pd 2.00
F: 0.1399 0.7504 0.4694  1 Pd 2.00
F: 0.0766 0.7047 0.8955  1 Pd 2.01
F: 0.9044 0.0000 0.7500  2 Pd 2.15


Entry from Alexandria via LeMat-Bulk: a geometry-optimized Hf2Cr2S structure (GGA-PBE).

## Properties
Magnetization   0.006 μB/atom
Electronic total energy   -7.70 eV per atom
SG   I4/mmm, No. 139

Lattice parameters (Å, degrees): 4.3019 4.3019 5.9804 68.92 68.92 90.00
With the nearest neighbours (Å) after each atom.
Fractional positions:
Cr: 0.4100 0.4100 0.1800  1 Cr 1.85
Cr: 0.5900 0.5900 0.8200  1 Cr 1.85
S: 0.0000 0.0000 0.0000  8 Cr 3.18, 8 Hf 3.35
Hf: 0.7500 0.2500 0.5000  4 Cr 2.71
Hf: 0.2500 0.7500 0.5000  4 Cr 2.71


Which of these has the highest magnetization? Hf2Cr2S


Which formula does entry 1 have? ErTm2Pt2


Number 2 is which compound? Ag2PdF5